Here is crystalline DyGa4Tc at its relaxed geometry from Alexandria. Energies are from GGA-PBE.

Cell and atoms, written as CIF:
```
data_DyGa4Tc
_chemical_formula_sum 'Dy4 Ga16 Tc4'
_cell_length_a 13.807
_cell_length_b 6.642
_cell_length_c 5.321
_cell_angle_alpha 90.00
_cell_angle_beta 112.26
_cell_angle_gamma 90.00
_symmetry_space_group_name_H-M 'C 1 2/m 1'
_symmetry_Int_Tables_number 12
_symmetry_space_group_name_Hall '-C 2y'
loop_
_atom_site_label
_atom_site_type_symbol
_atom_site_fract_x
_atom_site_fract_y
_atom_site_fract_z
Dy1 Dy 0.219 0.000 0.227
Ga1 Ga 0.000 0.179 0.000
Ga2 Ga 0.109 0.199 0.611
Ga3 Ga 0.176 0.500 0.171
Tc1 Tc 0.000 0.500 0.265
```

Formation energy: -0.25 eV/atom
ΔE to the lowest computed polymorph: 0 meV per atom